# 1
DFT (PBE) results for an optimized crystal structure of Sm2DyCd2.

Computed properties:
Its volume is 283 Å³/cell. The calculation puts the density of states at the Fermi level at 10.75 states/eV per cell. Its excess energy over the best structure of this formula in the dataset is 0.0000 eV/atom. The value obtained for the energy relative to the elements is -1.3 eV/f.u.

Lattice parameters (Å, degrees): 3.754 5.388 14.137 90.00 97.63 90.00
Space group P2_1/m (No. 11)
Inequivalent atoms, fractional coordinates:
Sm 0.045 0.250 0.088 [2 per cell]
Sm 0.234 0.250 0.470 [2 per cell]
Dy 0.150 0.750 0.299 [2 per cell]
Cd 0.361 0.750 0.721 [2 per cell]
Cd 0.444 0.250 0.889 [2 per cell]



# 2
DFT (PBE) results for an optimized crystal structure of Tm2AlSe.

Computed properties:
Its volume is 377 Å³/cell. The calculation puts the density of states at the Fermi level at 6.42 states/eV per cell. Its excess energy over the best structure of this formula in the dataset is 0.0000 eV/atom. As for the uncorrected formation energy: -4.31 eV per formula unit.

Lattice parameters (Å, degrees): 4.235 22.184 4.015 90.00 90.00 90.00
Space group Cmcm (No. 63)
Inequivalent atoms, fractional coordinates:
Tm 0.000 0.067 0.250 [4 per cell]
Tm 0.000 0.322 0.250 [4 per cell]
Al 0.000 0.461 0.250 [4 per cell]
Se 0.000 0.194 0.250 [4 per cell]



# 3
DFT (PBE) results for an optimized crystal structure of Tl2ZnIn6.

Computed properties:
Its volume is 246 Å³/cell. The calculation puts the density of states at the Fermi level at 3.31 states/eV per cell. The value obtained for the energy relative to the elements is 0.6 eV/f.u.

Lattice parameters (Å, degrees): 9.2618 9.2618 3.3097 90.00 90.00 120.00
Space group P-31m (No. 162)
Inequivalent atoms, fractional coordinates:
Tl 0.3333 0.6667 0.0000 [2 per cell]
Zn 0.0000 0.0000 0.5000 [1 per cell]
In 0.0000 0.3183 0.6941 [6 per cell]



# 4
DFT (PBE) results for an optimized crystal structure of RbZnAu.

Computed properties:
Its volume is 327 Å³/cell. The calculation puts the density of states at the Fermi level at 3.54 states/eV per cell. Its excess energy over the best structure of this formula in the dataset is 0.0444 eV/atom. The value obtained for the energy relative to the elements is -0.5 eV/f.u.

Lattice parameters (Å, degrees): 8.319 4.981 7.900 90.00 90.00 90.00
Space group Pnma (No. 62)
Inequivalent atoms, fractional coordinates:
Rb 0.002 0.250 0.174 [4 per cell]
Zn 0.155 0.750 0.420 [4 per cell]
Au 0.178 0.250 0.600 [4 per cell]



# 5
DFT (PBE) results for an optimized crystal structure of RbAgHg2Ge.

Computed properties:
Its volume is 165 Å³/cell. The calculation puts the density of states at the Fermi level at 3.61 states/eV per cell. The value obtained for the energy relative to the elements is 0.0 eV/f.u.

Lattice parameters (Å, degrees): 5.721 5.721 5.031 90.00 90.00 90.00
Space group P4/mmm (No. 123)
Inequivalent atoms, fractional coordinates:
Rb 0.000 0.000 0.000 [1 per cell]
Ag 0.500 0.500 0.000 [1 per cell]
Hg 0.000 0.500 0.500 [2 per cell]
Ge 0.500 0.500 0.500 [1 per cell]



# 6
DFT (PBE) results for an optimized crystal structure of ZrGa4Pt.

Computed properties:
Its volume is 211 Å³/cell. The calculation puts the density of states at the Fermi level at 4.42 states/eV per cell. The value obtained for the energy relative to the elements is -2.8 eV/f.u.

Lattice parameters (Å, degrees): 4.150 6.706 7.863 90.00 104.93 90.00
Space group P2_1/m (No. 11)
Inequivalent atoms, fractional coordinates:
Zr 0.126 0.250 0.246 [2 per cell]
Ga 0.056 0.750 0.111 [2 per cell]
Ga 0.323 0.042 0.649 [4 per cell]
Ga 0.500 0.000 0.000 [2 per cell]
Pt 0.219 0.750 0.437 [2 per cell]



# 7
DFT (PBE) results for an optimized crystal structure of SrCaNi.

Computed properties:
Its volume is 198 Å³/cell. The calculation puts the density of states at the Fermi level at 5.12 states/eV per cell. Its excess energy over the best structure of this formula in the dataset is 0.0366 eV/atom. The value obtained for the energy relative to the elements is -0.2 eV/f.u.

Lattice parameters (Å, degrees): 6.469 4.103 8.035 90.00 111.90 90.00
Space group P2_1/m (No. 11)
Inequivalent atoms, fractional coordinates:
Sr 0.239 0.250 0.194 [2 per cell]
Ca 0.225 0.250 0.699 [2 per cell]
Ni 0.397 0.750 0.975 [2 per cell]



# 8
DFT (PBE) results for an optimized crystal structure of TaFePd2.

Computed properties:
Its volume is 256 Å³/cell. The calculation puts the density of states at the Fermi level at 16.73 states/eV per cell. Its excess energy over the best structure of this formula in the dataset is 0.0484 eV/atom. The value obtained for the energy relative to the elements is 0.8 eV/f.u.

Lattice parameters (Å, degrees): 3.748 3.748 18.212 90.00 90.00 90.00
Space group I-42d (No. 122)
Inequivalent atoms, fractional coordinates:
Ta 0.000 0.000 0.000 [4 per cell]
Fe 0.000 0.000 0.500 [4 per cell]
Pd 0.241 0.250 0.625 [8 per cell]